[1]
11
Lattice="8.825 0.000 0.000 0.000 3.567 0.000 -0.862 0.000 11.487" Properties=species:S:1:pos:R:3 comment="Pm5Pr4Cd2 (GGA-PBE, optimized geometry)" ef_mev_per_atom=-10 space_group="No. 10" energy_ev_per_atom=-4.073 pbc="T T T"
Pm 0.000 0.000 0.000
Pm 0.305 0.000 3.408
Pm 1.898 0.000 9.572
Pm 6.065 0.000 1.915
Pm 7.659 0.000 8.079
Pr 1.585 1.784 6.289
Pr 3.008 1.784 1.407
Pr 4.956 1.784 10.081
Pr 6.379 1.784 5.199
Cd 3.609 0.000 4.224
Cd 4.354 0.000 7.263

[2]
10
Lattice="3.787 0.000 0.000 1.894 6.626 0.000 0.004 0.629 12.975" Properties=species:S:1:pos:R:3 comment="Pm3PrCd (GGA-PBE, optimized geometry)" ef_mev_per_atom=-108 space_group="No. 2" energy_ev_per_atom=-4.098 de_polymorph_mev_per_atom=0 pbc="T T T"
Pm 0.947 2.915 2.460
Pm 0.949 1.668 5.813
Pm 2.843 5.104 0.344
Pm 2.841 2.152 12.631
Pm 4.736 5.588 7.162
Pm 4.738 4.340 10.515
Pr 0.948 0.762 9.734
Pr 4.737 6.494 3.240
Cd 2.842 4.262 4.839
Cd 2.843 2.993 8.135

[3]
8
Lattice="2.766 1.597 9.229 -2.766 1.597 9.229 0.000 -3.194 9.229" Properties=species:S:1:pos:R:3 comment="PmPr4Cd3 (GGA-PBE, optimized geometry)" ef_mev_per_atom=-178 space_group="No. 166" energy_ev_per_atom=-3.505 pbc="T T T"
Pm 0.000 0.000 0.000
Pr 0.000 0.000 3.583
Pr 0.000 0.000 10.587
Pr 0.000 0.000 17.101
Pr 0.000 0.000 24.105
Cd 0.000 0.000 7.123
Cd 0.000 0.000 13.844
Cd 0.000 0.000 20.565

[4]
20
Lattice="6.113 3.529 4.925 -6.113 3.529 4.925 0.000 -7.058 4.925" Properties=species:S:1:pos:R:3 comment="PmPr12Cd7 (GGA-PBE, optimized geometry)" ef_mev_per_atom=-100 space_group="No. 148" energy_ev_per_atom=-3.526 pbc="T T T"
Pm 0.000 0.000 0.000
Pr -2.038 -0.350 4.502
Pr -3.394 -1.018 8.048
Pr -0.815 -3.449 6.728
Pr 1.322 -1.590 4.502
Pr -2.579 2.430 6.728
Pr 0.716 1.940 4.502
Pr -0.716 -1.940 10.274
Pr 2.579 -2.430 8.048
Pr -1.322 1.590 10.274
Pr 0.815 3.449 8.048
Pr 3.394 1.018 6.728
Pr 2.038 0.350 10.274
Cd -5.414 0.663 6.225
Cd -3.281 -4.357 8.552
Cd 2.133 -5.020 6.225
Cd 0.000 0.000 7.388
Cd -2.133 5.020 8.552
Cd 3.281 4.357 6.225
Cd 5.414 -0.663 8.552

[5]
12
Lattice="3.143 -5.448 0.000 3.143 5.448 0.000 -2.121 0.000 11.857" Properties=species:S:1:pos:R:3 comment="Pm6Pr5Cd (GGA-PBE, optimized geometry)" ef_mev_per_atom=-8 space_group="No. 12" energy_ev_per_atom=-4.451 pbc="T T T"
Pm 1.016 1.784 2.919
Pm -0.049 0.000 8.920
Pm 1.016 -1.784 2.919
Pm 3.148 1.784 8.939
Pm 4.214 0.000 2.937
Pm 3.148 -1.784 8.939
Pr 2.082 3.625 5.929
Pr 3.143 1.824 0.000
Pr 2.082 0.000 5.929
Pr 3.143 -1.824 0.000
Pr 2.082 -3.625 5.929
Cd 0.000 0.000 0.000

[6]
12
Lattice="6.228 -2.806 0.000 6.228 2.806 0.000 -0.017 0.000 11.395" Properties=species:S:1:pos:R:3 comment="Pm5Pr5Cd2 (GGA-PBE, optimized geometry)" ef_mev_per_atom=-66 space_group="No. 12" energy_ev_per_atom=-4.190 pbc="T T T"
Pm 0.000 0.000 0.000
Pm 2.267 0.000 8.530
Pm 3.951 0.000 5.296
Pm 8.488 0.000 6.099
Pm 10.172 0.000 2.864
Pr -0.008 0.000 5.697
Pr 3.979 0.000 0.392
Pr 5.964 0.000 8.530
Pr 6.475 0.000 2.865
Pr 8.460 0.000 11.003
Cd 1.839 0.000 2.842
Cd 10.601 0.000 8.552

[7]
10
Lattice="3.844 0.000 0.000 0.000 5.527 0.000 -1.929 0.000 14.254" Properties=species:S:1:pos:R:3 comment="PmPr2Cd2 (GGA-PBE, optimized geometry)" ef_mev_per_atom=-250 space_group="No. 11" energy_ev_per_atom=-3.478 de_polymorph_mev_per_atom=0 pbc="T T T"
Pm 0.002 1.382 4.212
Pm 1.913 4.145 10.042
Pr 0.001 4.145 1.268
Pr -0.008 4.145 6.699
Pr 1.923 1.382 7.554
Pr 1.914 1.382 12.986
Cd -0.004 1.382 10.274
Cd -0.009 4.145 12.717
Cd 1.924 1.382 1.537
Cd 1.920 4.145 3.979

[8]
6
Lattice="3.509 0.000 0.000 0.000 8.779 0.000 -0.013 0.000 5.075" Properties=species:S:1:pos:R:3 comment="PmPrCd4 (GGA-PBE, optimized geometry)" ef_mev_per_atom=-346 space_group="No. 10" energy_ev_per_atom=-2.544 de_polymorph_mev_per_atom=2 pbc="T T T"
Pm 0.000 0.000 0.000
Pr -0.007 4.389 2.537
Cd 1.748 1.449 2.537
Cd 1.754 2.909 0.000
Cd 1.754 5.870 0.000
Cd 1.748 7.330 2.537

[9]
12
Lattice="-2.709 3.942 8.189 2.709 -3.942 8.189 2.709 3.942 -8.189" Properties=species:S:1:pos:R:3 comment="Pm6PrCd5 (GGA-PBE, optimized geometry)" ef_mev_per_atom=-218 space_group="No. 71" energy_ev_per_atom=-3.373 pbc="T T T"
Pm 2.709 1.906 -2.815
Pm 0.000 1.793 0.000
Pm 2.709 1.906 2.815
Pm 0.000 2.036 5.374
Pm 0.000 6.090 0.000
Pm 0.000 2.036 11.004
Pr 0.000 0.000 8.189
Cd 2.709 0.000 0.000
Cd 0.000 0.000 2.782
Cd 2.709 0.000 5.636
Cd 0.000 3.942 2.553
Cd 0.000 0.000 13.596

[10]
14
Lattice="9.657 0.000 0.000 -4.828 8.363 0.000 0.000 0.000 5.737" Properties=species:S:1:pos:R:3 comment="Pm3Pr3Cd (GGA-PBE, optimized geometry)" ef_mev_per_atom=-36 space_group="No. 176" energy_ev_per_atom=-4.251 de_polymorph_mev_per_atom=0 pbc="T T T"
Pm -0.582 2.032 1.434
Pm -2.778 7.851 1.434
Pm 1.469 1.520 4.303
Pm 3.359 6.844 1.434
Pm 7.606 0.512 4.303
Pm 5.410 6.331 4.303
Pr -1.263 3.990 4.303
Pr -0.741 7.462 4.303
Pr 2.824 3.089 1.434
Pr 2.005 5.274 4.303
Pr 5.570 0.901 1.434
Pr 6.092 4.373 1.434
Cd 0.000 5.575 1.434
Cd 4.828 2.788 4.303

[11]
12
Lattice="7.511 -2.935 0.000 7.511 2.935 0.000 -5.291 0.000 8.438" Properties=species:S:1:pos:R:3 comment="Pm7PrCd4 (GGA-PBE, optimized geometry)" ef_mev_per_atom=-27 space_group="No. 12" energy_ev_per_atom=-3.502 pbc="T T T"
Pm 0.000 0.000 0.000
Pm -0.121 0.000 5.835
Pm 3.817 0.000 1.004
Pm 3.346 0.000 4.968
Pm 6.384 0.000 3.470
Pm 5.913 0.000 7.434
Pm 9.851 0.000 2.603
Pr 7.511 0.000 0.000
Cd -3.167 0.000 6.007
Cd 0.922 0.000 2.891
Cd 8.807 0.000 5.547
Cd 12.897 0.000 2.431

[12]
11
Lattice="8.092 -2.548 0.000 8.092 2.548 0.000 -2.063 0.000 6.800" Properties=species:S:1:pos:R:3 comment="PmPr2Cd8 (GGA-PBE, optimized geometry)" ef_mev_per_atom=-266 space_group="No. 12" energy_ev_per_atom=-2.233 pbc="T T T"
Pm 0.000 0.000 0.000
Pr 3.910 0.000 2.400
Pr 10.212 0.000 4.400
Cd 0.465 0.000 3.178
Cd 0.980 0.000 6.085
Cd 3.958 0.000 5.951
Cd 7.317 0.000 1.943
Cd 6.805 0.000 4.856
Cd 10.164 0.000 0.849
Cd 13.141 0.000 0.715
Cd 13.657 0.000 3.621

no.,M_tot (Bohr magnetons per cell)
1,0.000
2,0.003
3,0.007
4,0.002
5,0.000
6,0.000
7,0.163
8,0.000
9,0.116
10,0.000
11,0.158
12,0.000